Compound: Na4Be
Source: the Alexandria database
Functional: PBE
Structure: optimized geometry Values from VASP.

Computed properties:
E_form: 0.469 eV/atom
SG: Pm-3m

```
&SYSTEM
  ibrav = 0, nat = 5, ntyp = 2
/
ATOMIC_SPECIES
Be 9.01 Be.upf
Na 22.99 Na.upf
ATOMIC_POSITIONS crystal
Be 0.500 0.500 0.500
Na 0.000 0.000 0.000
Na 0.500 0.000 0.500
Na 0.000 0.500 0.500
Na 0.500 0.500 0.000
CELL_PARAMETERS angstrom
5.548 0.000 0.000
0.000 5.548 0.000
0.000 0.000 5.548
```

---

Compound: BiOsSe2
Source: the Alexandria database
Functional: PBE
Structure: optimized geometry Values from VASP.

Computed properties:
Raw formation energy: 0.08 eV/atom
SG: R-3m

```
&SYSTEM
  ibrav = 0, nat = 4, ntyp = 3
/
ATOMIC_SPECIES
Os 190.23 Os.upf
Bi 208.98 Bi.upf
Se 78.96 Se.upf
ATOMIC_POSITIONS crystal
Os 0.500 0.500 0.500
Bi 0.000 0.000 0.000
Se 0.883 0.883 0.883
Se 0.117 0.117 0.117
CELL_PARAMETERS angstrom
2.141 0.000 8.562
-1.070 1.854 8.562
-1.070 -1.854 8.562
```

---

Compound: RbLi2P2
Source: the Alexandria database
Functional: PBE
Structure: optimized geometry Values from VASP.

Computed properties:
E_form: -0.447 eV/atom
SG: I4/mmm
Energy relative to the lowest polymorph listed for this composition: 0 meV/atom

```
&SYSTEM
  ibrav = 0, nat = 5, ntyp = 3
/
ATOMIC_SPECIES
P 30.97 P.upf
Rb 85.47 Rb.upf
Li 6.94 Li.upf
ATOMIC_POSITIONS crystal
P 0.386 0.386 0.228
P 0.614 0.614 0.772
Rb 0.000 0.000 0.000
Li 0.750 0.250 0.500
Li 0.250 0.750 0.500
CELL_PARAMETERS angstrom
4.667 0.000 0.000
0.000 4.667 0.000
2.333 2.333 4.771
```

---

Compound: ZnHgAs2
Source: the Alexandria database
Functional: PBE
Structure: optimized geometry Values from VASP.

Computed properties:
E_form: 0.230 eV/atom
SG: P4mm
Energy relative to the lowest polymorph listed for this composition: 152 meV/atom

```
&SYSTEM
  ibrav = 0, nat = 4, ntyp = 3
/
ATOMIC_SPECIES
As 74.92 As.upf
Hg 200.59 Hg.upf
Zn 65.41 Zn.upf
ATOMIC_POSITIONS crystal
As 0.000 0.000 0.029
As 0.500 0.500 0.174
Hg 0.000 0.000 0.539
Zn 0.500 0.500 0.758
CELL_PARAMETERS angstrom
-1.096 -0.642 -3.266
1.571 -3.132 0.089
-5.783 -2.829 2.497
```

---

Compound: Y2SiIrS
Source: the Alexandria database
Functional: PBE
Structure: optimized geometry Values from VASP.

Computed properties:
Raw formation energy: -0.66 eV/atom
SG: P4/mmm

```
&SYSTEM
  ibrav = 0, nat = 5, ntyp = 4
/
ATOMIC_SPECIES
Y 88.91 Y.upf
S 32.06 S.upf
Ir 192.22 Ir.upf
Si 28.09 Si.upf
ATOMIC_POSITIONS crystal
Y 0.000 0.000 0.500
Y 0.500 0.000 0.000
S 0.500 0.500 0.500
Ir 0.000 0.000 0.000
Si 0.000 0.500 0.000
CELL_PARAMETERS angstrom
-1.020 4.597 2.727
-0.467 -2.318 3.732
5.315 0.573 1.021
```

---

Compound: Hf5ZnN
Source: the Alexandria database
Functional: PBE
Structure: optimized geometry Values from VASP.

Computed properties:
Raw formation energy: -0.45 eV/atom
SG: C2/c

```
&SYSTEM
  ibrav = 0, nat = 14, ntyp = 3
/
ATOMIC_SPECIES
Hf 178.49 Hf.upf
Zn 65.41 Zn.upf
N 14.01 N.upf
ATOMIC_POSITIONS crystal
Hf 0.982 0.616 0.132
Hf 0.197 0.568 0.533
Hf 0.616 0.982 0.632
Hf 0.954 0.046 0.250
Hf 0.432 0.803 0.967
Hf 0.568 0.197 0.033
Hf 0.046 0.954 0.750
Hf 0.384 0.018 0.368
Hf 0.803 0.432 0.467
Hf 0.018 0.384 0.868
Zn 0.478 0.522 0.250
Zn 0.522 0.478 0.750
N 0.000 0.000 0.000
N 0.000 0.000 0.500
CELL_PARAMETERS angstrom
-2.685 4.952 1.473
-5.035 -0.251 2.914
1.897 1.651 9.057
```

---

Compound: CuAs2P
Source: the Alexandria database
Functional: PBE
Structure: optimized geometry Values from VASP.

Computed properties:
E_form: 0.485 eV/atom
SG: R-3m

```
&SYSTEM
  ibrav = 0, nat = 4, ntyp = 3
/
ATOMIC_SPECIES
As 74.92 As.upf
Cu 63.55 Cu.upf
P 30.97 P.upf
ATOMIC_POSITIONS crystal
As 0.993 0.993 0.993
As 0.507 0.507 0.507
Cu 0.250 0.250 0.250
P 0.750 0.750 0.750
CELL_PARAMETERS angstrom
9.032 -0.023 -0.014
8.566 2.864 -0.014
8.566 1.383 2.508
```

---

Compound: Dy5HfRh6
Source: the Alexandria database
Functional: PBE
Structure: optimized geometry Values from VASP.

Computed properties:
E_form: -0.877 eV/atom
SG: C2/m

```
&SYSTEM
  ibrav = 0, nat = 12, ntyp = 3
/
ATOMIC_SPECIES
Rh 102.91 Rh.upf
Hf 178.49 Hf.upf
Dy 162.50 Dy.upf
ATOMIC_POSITIONS crystal
Rh 0.840 0.601 0.319
Rh 0.840 0.080 0.319
Rh 0.500 0.769 0.000
Rh 0.500 0.231 0.000
Rh 0.160 0.920 0.681
Rh 0.160 0.399 0.681
Hf 0.000 0.000 0.000
Dy 0.668 0.168 0.664
Dy 0.335 0.334 0.331
Dy 0.000 0.500 0.000
Dy 0.665 0.666 0.669
Dy 0.332 0.832 0.336
CELL_PARAMETERS angstrom
4.680 -0.298 0.761
-0.019 6.448 2.644
1.098 0.410 8.192
```

---

Compound: MgIn2Rh
Source: the Alexandria database
Functional: PBE
Structure: optimized geometry Values from VASP.

Computed properties:
E_form: -0.221 eV/atom
SG: P4mm

```
&SYSTEM
  ibrav = 0, nat = 4, ntyp = 3
/
ATOMIC_SPECIES
In 114.82 In.upf
Mg 24.30 Mg.upf
Rh 102.91 Rh.upf
ATOMIC_POSITIONS crystal
In 0.000 0.000 0.970
In 0.500 0.500 0.261
Mg 0.000 0.000 0.526
Rh 0.500 0.500 0.743
CELL_PARAMETERS angstrom
-2.567 1.538 -1.901
-2.419 -1.198 2.297
0.617 5.166 3.345
```

---

Compound: MnZn2Ir
Source: the Alexandria database
Functional: PBE
Structure: optimized geometry Values from VASP.

Computed properties:
E_form: -0.002 eV/atom
SG: R3m

```
&SYSTEM
  ibrav = 0, nat = 4, ntyp = 3
/
ATOMIC_SPECIES
Ir 192.22 Ir.upf
Mn 54.94 Mn.upf
Zn 65.41 Zn.upf
ATOMIC_POSITIONS crystal
Ir 0.494 0.494 0.494
Mn 0.752 0.752 0.752
Zn 0.006 0.006 0.006
Zn 0.248 0.248 0.248
CELL_PARAMETERS angstrom
8.896 0.008 0.005
8.481 2.683 0.005
8.481 1.313 2.339
```

---

Compound: Dy2Ho6Tm5
Source: the Alexandria database
Functional: PBE
Structure: optimized geometry Values from VASP.

Computed properties:
E_form: 0.101 eV/atom
SG: Pbam

```
&SYSTEM
  ibrav = 0, nat = 26, ntyp = 3
/
ATOMIC_SPECIES
Dy 162.50 Dy.upf
Ho 164.93 Ho.upf
Tm 168.93 Tm.upf
ATOMIC_POSITIONS crystal
Dy 0.000 0.335 0.289
Dy 0.000 0.665 0.711
Dy 0.000 0.835 0.211
Dy 0.000 0.165 0.789
Ho 0.000 0.084 0.368
Ho 0.000 0.916 0.632
Ho 0.000 0.584 0.132
Ho 0.000 0.416 0.868
Ho 0.500 0.328 0.133
Ho 0.500 0.672 0.867
Ho 0.500 0.828 0.367
Ho 0.500 0.172 0.633
Ho 0.000 0.559 0.419
Ho 0.000 0.441 0.581
Ho 0.000 0.059 0.081
Ho 0.000 0.941 0.919
Tm 0.500 0.302 0.450
Tm 0.500 0.698 0.550
Tm 0.500 0.802 0.050
Tm 0.500 0.198 0.950
Tm 0.500 0.593 0.274
Tm 0.500 0.407 0.726
Tm 0.500 0.093 0.226
Tm 0.500 0.907 0.774
Tm 0.500 0.500 0.000
Tm 0.500 0.000 0.500
CELL_PARAMETERS angstrom
-3.233 -0.772 1.206
-0.033 -9.644 -6.264
8.062 -9.931 15.247
```

---

Compound: Al2SbRh2
Source: the Alexandria database
Functional: PBE
Structure: optimized geometry Values from VASP.

Computed properties:
Raw formation energy: -0.62 eV/atom
SG: P4/mbm
Energy relative to the lowest polymorph listed for this composition: 0 meV/atom

```
&SYSTEM
  ibrav = 0, nat = 10, ntyp = 3
/
ATOMIC_SPECIES
Sb 121.76 Sb.upf
Rh 102.91 Rh.upf
Al 26.98 Al.upf
ATOMIC_POSITIONS crystal
Sb 0.000 0.000 0.000
Sb 0.500 0.500 0.000
Rh 0.348 0.848 0.000
Rh 0.848 0.652 0.000
Rh 0.652 0.152 0.000
Rh 0.152 0.348 0.000
Al 0.140 0.640 0.500
Al 0.640 0.860 0.500
Al 0.860 0.360 0.500
Al 0.360 0.140 0.500
CELL_PARAMETERS angstrom
7.399 0.000 0.000
0.000 7.399 0.000
0.000 0.000 2.955
```